DFT (PBE with a Hubbard U) results for an optimized crystal structure of GdCuW2O8.

Lattice parameters (Å, degrees): 7.158 7.380 7.472 113.65 116.13 91.02
Positions (direct):
Gd 0.184 0.285 0.456
Gd 0.816 0.715 0.544
Cu 0.269 0.686 0.066
Cu 0.731 0.314 0.934
W 0.253 0.292 0.019
W 0.350 0.889 0.709
W 0.650 0.111 0.291
W 0.747 0.708 0.981
O 0.028 0.303 0.079
O 0.133 0.981 0.798
O 0.173 0.330 0.771
O 0.181 0.629 0.553
O 0.290 0.986 0.510
O 0.383 0.184 0.262
O 0.446 0.545 0.240
O 0.482 0.828 0.013
O 0.518 0.172 0.987
O 0.554 0.455 0.760
O 0.617 0.816 0.738
O 0.710 0.014 0.490
O 0.819 0.371 0.447
O 0.827 0.670 0.229
O 0.867 0.019 0.202
O 0.972 0.697 0.921

## Properties
Calculated total energy   -8.131 eV/atom
Symmetry   P-1 (2)